! PmPrTl | Alexandria | PBE | optimized geometry; values from VASP
! E above lowest polymorph: 210 meV per atom
! formation enthalpy at 0 K: -0.058 eV/atom
! magnetic moment: 0.77 μB/f.u.
! crystal system: cubic
! symmetry: F-43m, No. 216
&SYSTEM
  ibrav = 0, nat = 3, ntyp = 3
/
ATOMIC_SPECIES
Tl 204.38 Tl.upf
Pm 145.00 Pm.upf
Pr 140.91 Pr.upf
CELL_PARAMETERS angstrom
5.348 0.000 0.000
2.674 4.631 0.000
2.674 1.544 4.366
ATOMIC_POSITIONS angstrom
Tl 2.674 1.544 1.092
Pm 5.348 3.088 2.183
Pr 0.000 0.000 0.000